LaDyNi | PBE | optimized geometry

## Properties
- Excess energy over the best structure of this formula in the dataset: 0.1823 eV per atom
- Energy relative to the elements: 1.9 kcal/mol of atoms
- Total magnetic moment: 0.0 μB/f.u.

Cell: 4.578 7.340 7.340 Å, 120.08 90.00 90.00°
Fractional coordinates of all 9 atoms:
La1 0.000 0.000 0.000
La2 0.000 0.419 0.839
La3 0.000 0.839 0.419
Dy1 0.000 0.419 0.419
Dy2 0.500 0.086 0.752
Dy3 0.500 0.752 0.086
Ni1 0.500 0.179 0.419
Ni2 0.500 0.419 0.179
Ni3 0.500 0.660 0.660